Record 1
Here is an optimized crystal structure of Al2ZnCo from Alexandria. Energies are from PBE.

```
data_Al2ZnCo
_space_group_name_H-M_alt 'I 4/m m m'
_space_group_IT_number 139
_space_group_name_Hall '-I 4 2'
_cell_length_a 3.8258
_cell_length_b 3.8258
_cell_length_c 7.2651
_cell_angle_alpha 90.00
_cell_angle_beta 90.00
_cell_angle_gamma 90.00
loop_
_atom_site_label
_atom_site_type_symbol
_atom_site_fract_x
_atom_site_fract_y
_atom_site_fract_z
Al1 Al 0.0000 0.5000 0.2500
Zn1 Zn 0.0000 0.0000 0.0000
Co1 Co 0.0000 0.0000 0.5000
```

The calculation puts the calculated volume at 106.34 Å³ per cell. As for the density: 5.569 g/cm3. The density of states at the Fermi level comes out at 0.3649 states/eV/atom. The calculation puts the energy of formation from the pure elements at -0.227 eV/atom.

=====

Record 2
Here is an optimized crystal structure of TbDyHo2 from Alexandria. Energies are from PBE.

```
data_TbDyHo2
_space_group_name_H-M_alt 'I m m 2'
_space_group_IT_number 44
_space_group_name_Hall 'I 2 -2'
_cell_length_a 3.6091
_cell_length_b 11.2363
_cell_length_c 6.2380
_cell_angle_alpha 90.00
_cell_angle_beta 90.00
_cell_angle_gamma 90.00
loop_
_atom_site_label
_atom_site_type_symbol
_atom_site_fract_x
_atom_site_fract_y
_atom_site_fract_z
Tb1 Tb 0.0000 0.0000 0.0000
Dy1 Dy 0.0000 0.5000 0.0007
Ho1 Ho 0.0000 0.2497 0.3327
```

The calculation puts the calculated volume at 252.97 Å³ per cell. As for the density: 8.550 g/cm3. The density of states at the Fermi level comes out at 1.7234 states/eV/atom. The calculation puts the energy of formation from the pure elements at 0.008 eV/atom.

=====

Record 3
Here is an optimized crystal structure of GdPS4 from Alexandria. Energies are from PBE.

```
data_GdPS4
_space_group_name_H-M_alt 'I 41/a c d'
_space_group_IT_number 142
_cell_length_a 10.8946
_cell_length_b 10.8946
_cell_length_c 19.1628
_cell_angle_alpha 90.00
_cell_angle_beta 90.00
_cell_angle_gamma 90.00
loop_
_space_group_symop_operation_xyz
'x,y,z'
'-x,-y,-z'
'-y+1/4,x+3/4,z+1/4'
'y+1/4,-x+3/4,-z+1/4'
'-x+1/2,-y,z+1/2'
'x+1/2,y,-z+1/2'
'y+1/4,-x+1/4,z+3/4'
'-y+1/4,x+1/4,-z+3/4'
'x,-y,-z+1/2'
'-x,y,z+1/2'
'-y+1/4,-x+1/4,-z+1/4'
'y+1/4,x+1/4,z+1/4'
'-x+1/2,y,-z'
'x+1/2,-y,z'
'y+1/4,x+3/4,-z+3/4'
'-y+1/4,-x+3/4,z+3/4'
'x+1/2,y+1/2,z+1/2'
'-x+1/2,-y+1/2,-z+1/2'
'-y+3/4,x+1/4,z+3/4'
'y+3/4,-x+1/4,-z+3/4'
'-x,-y+1/2,z'
'x,y+1/2,-z'
'y+3/4,-x+3/4,z+1/4'
'-y+3/4,x+3/4,-z+1/4'
'x+1/2,-y+1/2,-z'
'-x+1/2,y+1/2,z'
'-y+3/4,-x+3/4,-z+3/4'
'y+3/4,x+3/4,z+3/4'
'-x,y+1/2,-z+1/2'
'x,-y+1/2,z+1/2'
'y+3/4,x+1/4,-z+1/4'
'-y+3/4,-x+1/4,z+1/4'
loop_
_atom_site_label
_atom_site_type_symbol
_atom_site_fract_x
_atom_site_fract_y
_atom_site_fract_z
Gd1 Gd 0.0000 0.2500 0.1250
Gd2 Gd 0.0000 0.2500 0.3750
P1 P 0.0379 0.0000 0.2500
S1 S 0.0649 0.0032 0.8393
S2 S 0.0895 0.1140 0.0026
```

The calculation puts the calculated volume at 2274.50 Å³ per cell. As for the density: 3.697 g/cm3. The energy relative to the elements, uncorrected comes out at -1.050 eV/atom.

=====

Record 4
Here is an optimized crystal structure of LiAlNi2 from Alexandria. Energies are from PBE.

```
data_LiAlNi2
_space_group_name_H-M_alt 'I m m 2'
_space_group_IT_number 44
_space_group_name_Hall 'I 2 -2'
_cell_length_a 2.7767
_cell_length_b 4.0385
_cell_length_c 8.4489
_cell_angle_alpha 90.00
_cell_angle_beta 90.00
_cell_angle_gamma 90.00
loop_
_atom_site_label
_atom_site_type_symbol
_atom_site_fract_x
_atom_site_fract_y
_atom_site_fract_z
Li1 Li 0.0000 0.0000 0.0000
Al1 Al 0.0000 0.5000 0.2296
Ni1 Ni 0.0000 0.0000 0.4909
Ni2 Ni 0.0000 0.5000 0.7493
```

The calculation puts the calculated volume at 94.74 Å³ per cell. As for the density: 5.304 g/cm3. The density of states at the Fermi level comes out at 0.5183 states/eV/atom. The calculation puts the energy of formation from the pure elements at -0.293 eV/atom.

=====

Record 5
Here is an optimized crystal structure of Tb2Nd4Sc from Alexandria. Energies are from PBE.

```
data_Tb2Nd4Sc
_space_group_name_H-M_alt 'C m m m'
_space_group_IT_number 65
_space_group_name_Hall '-C 2 2'
_cell_length_a 6.1500
_cell_length_b 12.9303
_cell_length_c 5.9699
_cell_angle_alpha 90.00
_cell_angle_beta 90.00
_cell_angle_gamma 90.00
loop_
_atom_site_label
_atom_site_type_symbol
_atom_site_fract_x
_atom_site_fract_y
_atom_site_fract_z
Tb1 Tb 0.0000 0.1111 0.0000
Nd1 Nd 0.0000 0.1875 0.5000
Nd2 Nd 0.0000 0.3641 0.0000
Sc1 Sc 0.0000 0.5000 0.5000
```

The calculation puts the calculated volume at 474.73 Å³ per cell. As for the density: 6.574 g/cm3. The density of states at the Fermi level comes out at 1.6833 states/eV/atom. The calculation puts the energy of formation from the pure elements at 0.511 eV/atom.

=====

Record 6
Here is an optimized crystal structure of BaZn2I2 from Alexandria. Energies are from PBE.

```
data_BaZn2I2
_space_group_name_H-M_alt 'P 4/m b m'
_space_group_IT_number 127
_space_group_name_Hall '-P 4 2ab'
_cell_length_a 8.9661
_cell_length_b 8.9661
_cell_length_c 5.9941
_cell_angle_alpha 90.00
_cell_angle_beta 90.00
_cell_angle_gamma 90.00
loop_
_atom_site_label
_atom_site_type_symbol
_atom_site_fract_x
_atom_site_fract_y
_atom_site_fract_z
Ba1 Ba 0.0000 0.0000 0.0000
Zn1 Zn 0.1089 0.3911 0.5000
I1 I 0.1637 0.6637 0.0000
```

The calculation puts the calculated volume at 481.87 Å³ per cell. As for the density: 3.597 g/cm3. The density of states at the Fermi level comes out at 0.0000 states/eV/atom. The energy relative to the elements, uncorrected comes out at -0.511 eV/atom.

=====

Record 7
Here is an optimized crystal structure of MnAlTcMo from Alexandria. Energies are from PBE.

```
data_MnAlTcMo
_space_group_name_H-M_alt 'F -4 3 m'
_space_group_IT_number 216
_space_group_name_Hall 'F -4 2 3'
_cell_length_a 6.0586
_cell_length_b 6.0586
_cell_length_c 6.0586
_cell_angle_alpha 90.00
_cell_angle_beta 90.00
_cell_angle_gamma 90.00
loop_
_atom_site_label
_atom_site_type_symbol
_atom_site_fract_x
_atom_site_fract_y
_atom_site_fract_z
Mn1 Mn 0.0000 0.0000 0.0000
Al1 Al 0.2500 0.2500 0.2500
Tc1 Tc 0.0000 0.0000 0.5000
Mo1 Mo 0.2500 0.2500 0.7500
```

The calculation puts the calculated volume at 222.39 Å³ per cell. As for the density: 8.239 g/cm3. The density of states at the Fermi level comes out at 0.8332 states/eV/atom. The calculation puts the energy of formation from the pure elements at -0.193 eV/atom.

=====

Record 8
Here is an optimized crystal structure of Dy2HoGa from Alexandria. Energies are from PBE.

```
data_Dy2HoGa
_space_group_name_H-M_alt 'C m c m'
_space_group_IT_number 63
_space_group_name_Hall '-C 2c 2'
_cell_length_a 3.6363
_cell_length_b 12.7131
_cell_length_c 9.5833
_cell_angle_alpha 90.00
_cell_angle_beta 90.00
_cell_angle_gamma 90.00
loop_
_atom_site_label
_atom_site_type_symbol
_atom_site_fract_x
_atom_site_fract_y
_atom_site_fract_z
Dy1 Dy 0.0000 0.1348 0.0481
Ho1 Ho 0.0000 0.4459 0.2500
Ga1 Ga 0.0000 0.2442 0.7500
```

The calculation puts the calculated volume at 443.03 Å³ per cell. As for the density: 8.391 g/cm3. The density of states at the Fermi level comes out at 1.3749 states/eV/atom. The calculation puts the energy of formation from the pure elements at -0.278 eV/atom.

=====

Record 9
Here is an optimized crystal structure of DyIn2Ni from Alexandria. Energies are from PBE.

```
data_DyIn2Ni
_space_group_name_H-M_alt 'R -3 m'
_space_group_IT_number 166
_space_group_name_Hall '-R 3 2"'
_cell_length_a 3.3423
_cell_length_b 3.3423
_cell_length_c 30.2210
_cell_angle_alpha 90.00
_cell_angle_beta 90.00
_cell_angle_gamma 120.00
loop_
_atom_site_label
_atom_site_type_symbol
_atom_site_fract_x
_atom_site_fract_y
_atom_site_fract_z
Dy1 Dy 0.0000 0.0000 0.0000
In1 In 0.0000 0.0000 0.1054
Ni1 Ni 0.0000 0.0000 0.5000
```

The calculation puts the calculated volume at 292.36 Å³ per cell. As for the density: 7.682 g/cm3. The density of states at the Fermi level comes out at 0.8948 states/eV/atom. The calculation puts the energy of formation from the pure elements at 0.212 eV/atom.

=====

Record 10
Here is an optimized crystal structure of LaTlBiPb from Alexandria. Energies are from PBE.

```
data_LaTlBiPb
_space_group_name_H-M_alt 'P m m m'
_space_group_IT_number 47
_space_group_name_Hall '-P 2 2'
_cell_length_a 4.9147
_cell_length_b 4.9198
_cell_length_c 5.0742
_cell_angle_alpha 90.00
_cell_angle_beta 90.00
_cell_angle_gamma 90.00
loop_
_atom_site_label
_atom_site_type_symbol
_atom_site_fract_x
_atom_site_fract_y
_atom_site_fract_z
La1 La 0.0000 0.0000 0.0000
Tl1 Tl 0.0000 0.5000 0.5000
Bi1 Bi 0.5000 0.5000 0.0000
Pb1 Pb 0.5000 0.0000 0.5000
```

The calculation puts the calculated volume at 122.69 Å³ per cell. As for the density: 10.279 g/cm3. The density of states at the Fermi level comes out at 0.4959 states/eV/atom. The calculation puts the energy of formation from the pure elements at -0.488 eV/atom.

=====

Record 11
Here is an optimized crystal structure of SiSbRh2 from Alexandria. Energies are from PBE.

```
data_SiSbRh2
_space_group_name_H-M_alt 'I m m m'
_space_group_IT_number 71
_space_group_name_Hall '-I 2 2'
_cell_length_a 3.7466
_cell_length_b 4.8892
_cell_length_c 7.1790
_cell_angle_alpha 90.00
_cell_angle_beta 90.00
_cell_angle_gamma 90.00
loop_
_atom_site_label
_atom_site_type_symbol
_atom_site_fract_x
_atom_site_fract_y
_atom_site_fract_z
Si1 Si 0.0000 0.0000 0.0000
Sb1 Sb 0.0000 0.0000 0.5000
Rh1 Rh 0.0000 0.5000 0.2971
```

The calculation puts the calculated volume at 131.51 Å³ per cell. As for the density: 8.982 g/cm3. The density of states at the Fermi level comes out at 0.7903 states/eV/atom. The energy relative to the elements, uncorrected comes out at -0.293 eV/atom.